[1]
Eu3N | GGA-PBE | optimized geometry Values from VASP.

Quantum ESPRESSO input file:
```
&SYSTEM
  ibrav = 0, nat = 4, ntyp = 2
/
ATOMIC_SPECIES
Eu 151.96 Eu.upf
N 14.01 N.upf
CELL_PARAMETERS angstrom
-3.314 0.267 -0.687
0.670 -4.266 -4.890
0.272 -2.131 6.249
ATOMIC_POSITIONS crystal
Eu 0.649 0.047 0.298
Eu 0.500 0.328 0.000
N 0.000 0.043 0.000
Eu 0.351 0.749 0.702
```

Properties
* SG: Imm2 (44)
* electronic total energy: -10.20 eV per atom


[2]
NdSmInCo | GGA-PBE | optimized geometry Values from VASP.

Quantum ESPRESSO input file:
```
&SYSTEM
  ibrav = 0, nat = 4, ntyp = 4
/
ATOMIC_SPECIES
Nd 144.24 Nd.upf
Sm 150.36 Sm.upf
Co 58.93 Co.upf
In 114.82 In.upf
CELL_PARAMETERS angstrom
5.234 0.000 0.000
2.617 4.533 0.000
2.617 1.511 4.274
ATOMIC_POSITIONS crystal
Nd 0.750 0.750 0.750
Sm 0.250 0.250 0.250
Co 0.500 0.500 0.500
In 0.000 0.000 0.000
```

Properties
* SG: F-43m (216)
* electronic total energy: -4.95 eV per atom
* E_form: -0.121 eV per atom